VASP calculation (meta-GGA SCAN) on a PBEsol-optimized structure of MgZnCu2.

formation enthalpy at 0 K	-0.5	eV per formula unit
size of the total moment	0.0	μB per cell

```
data_MgZnCu2
_chemical_formula_sum 'Mg2 Zn2 Cu4'
_cell_length_a 4.1201
_cell_length_b 4.1201
_cell_length_c 7.7697
_cell_angle_alpha 90.00
_cell_angle_beta 90.00
_cell_angle_gamma 120.00
_symmetry_space_group_name_H-M 'P 63/m m c'
_symmetry_Int_Tables_number 194
_symmetry_space_group_name_Hall '-P 6c 2c'
loop_
_atom_site_label
_atom_site_fract_x
_atom_site_fract_y
_atom_site_fract_z
Mg1 0.3333 0.6667 0.2500
Zn1 0.0000 0.0000 0.0000
Cu1 0.3333 0.6667 0.5848
```